(1)
# NbCr2InRh

Crystalline NbCr2InRh at its relaxed geometry (GGA-PBE, the Alexandria database).

The structure in POSCAR format:
```
NbCr2InRh
1.0
-3.230 -3.456 -0.226
2.460 -2.509 3.198
-2.445 2.057 3.495
Cr In Rh Nb
2 1 1 1
Direct
0.000 0.000 0.500 Cr
0.500 0.000 0.000 Cr
0.500 0.500 0.500 In
0.000 0.500 0.000 Rh
0.000 0.000 0.000 Nb
```

total energy: -6.727 eV/atom
SG: P4/mmm (123)
size of the total moment: 5.369 μB per cell

***

(2)
# NbCrInRh

Crystalline NbCrInRh at its relaxed geometry (GGA-PBE, the Alexandria database).

The structure in POSCAR format:
```
NbCrInRh
1.0
-3.329 2.699 -1.389
-3.829 -1.774 -1.575
-3.792 0.324 2.411
Cr In Rh Nb
1 1 1 1
Direct
0.500 0.500 0.500 Cr
0.750 0.750 0.750 In
0.000 0.000 0.000 Rh
0.250 0.250 0.250 Nb
```

total energy: -7.482 eV/atom
SG: F-43m (216)
size of the total moment: 0.984 μB per cell

***

(3)
# Nb2CrIn2S6

Crystalline Nb2CrIn2S6 at its relaxed geometry (GGA-PBE, the Alexandria database).

The structure in POSCAR format:
```
Nb2CrIn2S6
1.0
-5.640 0.025 2.045
1.373 -2.470 -5.292
2.670 -5.969 4.582
Cr In Nb S
1 2 2 6
Direct
0.000 0.000 0.500 Cr
0.184 0.816 0.000 In
0.816 0.184 0.000 In
0.359 0.641 0.500 Nb
0.641 0.359 0.500 Nb
0.383 0.052 0.680 S
0.617 0.948 0.320 S
0.052 0.383 0.680 S
0.761 0.761 0.708 S
0.948 0.617 0.320 S
0.239 0.239 0.292 S
```

total energy: -6.177 eV/atom
SG: C2/m (12)
size of the total moment: 1.975 μB per cell
formation energy from raw total energies: -766 kJ/mol of formula units

***

(4)
# SrNb2CrIn

Crystalline SrNb2CrIn at its relaxed geometry (GGA-PBE, the Alexandria database).

The structure in POSCAR format:
```
SrNb2CrIn
1.0
-0.219 -3.077 -3.884
4.288 -1.252 0.750
-1.583 -3.641 2.973
Nb Cr Sr In
2 1 1 1
Direct
0.000 0.000 0.500 Nb
0.500 0.000 0.000 Nb
0.000 0.500 0.000 Cr
0.000 0.000 0.000 Sr
0.500 0.500 0.500 In
```

total energy: -4.449 eV/atom
SG: P4/mmm (123)
size of the total moment: 0.007 μB per cell

***

(5)
# NbCrInTc

Crystalline NbCrInTc at its relaxed geometry (GGA-PBE, the Alexandria database).

The structure in POSCAR format:
```
NbCrInTc
1.0
4.549 0.000 0.000
2.275 3.940 0.000
2.275 1.313 3.714
Tc In Nb Cr
1 1 1 1
Direct
0.750 0.750 0.750 Tc
0.500 0.500 0.500 In
0.000 0.000 0.000 Nb
0.250 0.250 0.250 Cr
```

total energy: -8.153 eV/atom
SG: F-43m (216)
size of the total moment: 2.969 μB per cell

***

(6)
# Nb2CrInTe

Crystalline Nb2CrInTe at its relaxed geometry (GGA-PBE, the Alexandria database).

The structure in POSCAR format:
```
Nb2CrInTe
1.0
-2.305 -2.614 3.620
4.838 -1.121 2.272
-0.345 4.165 2.789
Cr In Nb Te
1 1 2 1
Direct
0.500 0.500 0.500 Cr
0.000 0.500 0.000 In
0.500 0.000 0.000 Nb
0.000 0.000 0.500 Nb
0.000 0.000 0.000 Te
```

total energy: -5.124 eV/atom
SG: P4/mmm (123)
size of the total moment: 0.461 μB per cell
formation energy from raw total energies: 967 kJ/mol of formula units

***

(7)
# Nb2CrIn2Te6

Crystalline Nb2CrIn2Te6 at its relaxed geometry (GGA-PBE, the Alexandria database).

The structure in POSCAR format:
```
Nb2CrIn2Te6
1.0
-0.457 5.099 -4.268
-3.275 -5.724 -0.965
-4.354 3.674 8.322
In Te Nb Cr
2 6 2 1
Direct
0.773 0.227 0.000 In
0.227 0.773 0.000 In
0.898 0.552 0.328 Te
0.448 0.102 0.672 Te
0.850 0.850 0.721 Te
0.552 0.898 0.328 Te
0.102 0.448 0.672 Te
0.150 0.150 0.279 Te
0.373 0.627 0.500 Nb
0.627 0.373 0.500 Nb
0.000 0.000 0.500 Cr
```

total energy: -5.160 eV/atom
SG: C2/m (12)
size of the total moment: 2.253 μB per cell
formation energy from raw total energies: -258 kJ/mol of formula units

***

(8)
# CrIn2Ni

Crystalline CrIn2Ni at its relaxed geometry (GGA-PBE, the Alexandria database).

The structure in POSCAR format:
```
CrIn2Ni
1.0
3.151 0.000 0.000
0.000 3.151 0.000
0.000 0.000 6.933
In Cr Ni
2 1 1
Direct
0.000 0.000 0.479 In
0.000 0.000 0.021 In
0.500 0.500 0.750 Cr
0.500 0.500 0.250 Ni
```

total energy: -5.061 eV/atom
SG: P4/mmm (123)
distance to the lowest polymorph of the same formula: 0 meV/atom
size of the total moment: 3.456 μB per cell

***

(9)
# CrIn2Ni

Crystalline CrIn2Ni at its relaxed geometry (GGA-PBE, the Alexandria database).

The structure in POSCAR format:
```
CrIn2Ni
1.0
4.341 -0.021 0.000
0.016 4.341 0.000
0.000 0.000 3.610
Cr In Ni
1 2 1
Direct
0.000 0.500 0.500 Cr
0.000 0.000 0.000 In
0.500 0.500 0.000 In
0.500 0.000 0.500 Ni
```

total energy: -5.036 eV/atom
SG: Cmmm (65)
distance to the lowest polymorph of the same formula: 25 meV/atom
size of the total moment: 2.946 μB per cell

***

(10)
# CrIn2Ni

Crystalline CrIn2Ni at its relaxed geometry (GGA-PBE, the Alexandria database).

The structure in POSCAR format:
```
CrIn2Ni
1.0
-3.610 -0.807 -2.786
-1.363 -4.349 -0.823
-3.989 -1.551 1.769
Cr In Ni
1 2 1
Direct
0.500 0.500 0.500 Cr
0.250 0.250 0.250 In
0.000 0.000 0.000 In
0.750 0.750 0.750 Ni
```

total energy: -4.884 eV/atom
SG: F-43m (216)
distance to the lowest polymorph of the same formula: 177 meV/atom
size of the total moment: 3.725 μB per cell

***

(11)
# CrIn2Ni2

Crystalline CrIn2Ni2 at its relaxed geometry (GGA-PBE, the Alexandria database).

The structure in POSCAR format:
```
CrIn2Ni2
1.0
-0.893 -3.188 0.568
2.322 -1.041 -2.193
5.940 -2.555 4.930
In Ni Cr
2 2 1
Direct
0.384 0.384 0.232 In
0.616 0.616 0.768 In
0.750 0.250 0.500 Ni
0.250 0.750 0.500 Ni
0.000 0.000 0.000 Cr
```

total energy: -5.036 eV/atom
SG: I4/mmm (139)
distance to the lowest polymorph of the same formula: 25 meV/atom
size of the total moment: 4.014 μB per cell

***

(12)
# CrIn2Ni

Crystalline CrIn2Ni at its relaxed geometry (GGA-PBE, the Alexandria database).

The structure in POSCAR format:
```
CrIn2Ni
1.0
-2.930 -5.849 -5.664
0.186 -6.061 -6.173
-1.145 -7.686 -3.807
Cr In Ni
1 2 1
Direct
0.750 0.750 0.750 Cr
0.506 0.506 0.506 In
0.994 0.994 0.994 In
0.250 0.250 0.250 Ni
```

total energy: -4.911 eV/atom
SG: R-3m (166)
distance to the lowest polymorph of the same formula: 150 meV/atom
size of the total moment: 3.410 μB per cell